Entry 1:
VZn3Pd, relaxed, DFT PBE-GGA; VASP energy = -3.1078 eV per atom; calculated formation energy = 518.8 meV/atom; space group = Pm-3m; E above lowest polymorph = 0.0000 eV/atom
1.0
-2.186 -3.154 2.736
4.174 -1.723 1.350
0.097 3.050 3.592
Zn Pd V
3 1 1
direct
0.000 0.500 0.000 Zn
0.000 0.000 0.500 Zn
0.500 0.000 0.000 Zn
0.000 0.000 0.000 Pd
0.500 0.500 0.500 V


Entry 2:
VZn2Pd, relaxed, DFT PBE-GGA; VASP energy = -4.0434 eV per atom; calculated formation energy = 171.4 meV/atom; space group = R-3m
1.0
-1.266 2.179 1.084
-0.905 -0.087 2.588
7.641 4.045 4.263
Zn Pd V
2 1 1
direct
0.091 0.091 0.726 Zn
0.909 0.909 0.274 Zn
0.500 0.500 0.500 Pd
0.000 0.000 0.000 V


Entry 3:
VZnPd6, relaxed, DFT PBE-GGA; VASP energy = -5.5172 eV per atom; calculated formation energy = -323.5 meV/atom; space group = P4/mmm; E above lowest polymorph = 0.0000 eV/atom
1.0
-2.590 -1.034 2.730
2.650 -2.363 1.619
2.440 5.838 4.527
V Zn Pd
1 1 6
direct
0.000 0.000 0.500 V
0.000 0.000 0.000 Zn
0.500 0.500 0.000 Pd
0.500 0.500 0.500 Pd
0.500 0.000 0.257 Pd
0.500 0.000 0.743 Pd
0.000 0.500 0.257 Pd
0.000 0.500 0.743 Pd


Entry 4:
V3ZnPd, relaxed, DFT PBE-GGA; VASP energy = -5.5081 eV per atom; calculated formation energy = 1256.4 meV/atom; space group = Pm-3m; E above lowest polymorph = 0.0000 eV/atom
1.0
-2.357 2.281 3.018
-3.660 -0.472 -2.501
-0.960 -3.800 2.122
Zn Pd V
1 1 3
direct
0.000 0.000 0.000 Zn
0.500 0.500 0.500 Pd
0.000 0.500 0.000 V
0.000 0.000 0.500 V
0.500 0.000 0.000 V


Entry 5:
VZnPd6, relaxed, DFT PBE-GGA; VASP energy = -5.3439 eV per atom; calculated formation energy = -150.2 meV/atom; space group = P-1; E above lowest polymorph = 0.1733 eV/atom
1.0
-6.088 2.641 -1.783
-1.993 -0.961 -6.495
-4.091 -1.946 -2.127
V Zn Pd
1 1 6
direct
0.000 0.000 0.000 V
0.500 0.500 0.500 Zn
0.961 0.544 0.744 Pd
0.750 0.035 0.668 Pd
0.553 0.250 0.153 Pd
0.250 0.965 0.332 Pd
0.039 0.456 0.256 Pd
0.447 0.750 0.847 Pd


Entry 6:
VZn2Pd, relaxed, DFT PBE-GGA; VASP energy = -4.3009 eV per atom; calculated formation energy = -86.1 meV/atom; space group = Cm
1.0
2.803 0.012 0.003
1.412 2.421 0.003
1.416 0.817 8.634
V Zn Pd
1 2 1
direct
0.498 0.498 0.500 V
0.082 0.082 0.754 Zn
0.253 0.253 0.246 Zn
0.667 0.667 0.000 Pd


Entry 7:
VZnPd4, relaxed, DFT PBE-GGA; VASP energy = -5.5111 eV per atom; calculated formation energy = -317.1 meV/atom; space group = P4/mmm; E above lowest polymorph = 0.0000 eV/atom
1.0
2.793 0.000 0.000
0.000 2.793 0.000
0.000 0.000 11.281
V Zn Pd
1 1 4
direct
0.500 0.500 0.500 V
0.000 0.000 0.000 Zn
0.500 0.500 0.156 Pd
0.000 0.000 0.660 Pd
0.000 0.000 0.340 Pd
0.500 0.500 0.844 Pd


Entry 8:
V2Zn2Pd, relaxed, DFT PBE-GGA; VASP energy = -5.0635 eV per atom; calculated formation energy = 132.1 meV/atom; space group = P4/mbm
1.0
-6.254 -1.813 0.543
1.747 -6.251 -0.753
0.379 -0.300 3.367
Zn Pd V
4 2 4
direct
0.365 0.865 0.000 Zn
0.865 0.635 0.000 Zn
0.635 0.135 0.000 Zn
0.135 0.365 0.000 Zn
0.000 0.000 0.000 Pd
0.500 0.500 0.000 Pd
0.163 0.663 0.500 V
0.663 0.837 0.500 V
0.837 0.337 0.500 V
0.337 0.163 0.500 V


Entry 9:
VZn4Pd, relaxed, DFT PBE-GGA; VASP energy = -3.3209 eV per atom; calculated formation energy = -86.3 meV/atom; space group = F-43m
1.0
4.977 0.000 0.000
2.489 4.311 0.000
2.489 1.437 4.064
Zn Pd V
4 1 1
direct
0.625 0.625 0.125 Zn
0.625 0.125 0.625 Zn
0.625 0.625 0.625 Zn
0.125 0.625 0.625 Zn
0.000 0.000 0.000 Pd
0.250 0.250 0.250 V


Entry 10:
VZn2Pd, relaxed, DFT PBE-GGA; VASP energy = -3.9615 eV per atom; calculated formation energy = 253.3 meV/atom; space group = I-42d
1.0
-0.270 5.426 4.424
-4.749 -3.395 3.874
-0.585 -0.050 5.574
Zn Pd V
4 2 2
direct
0.634 0.125 0.250 Zn
0.116 0.625 0.250 Zn
0.375 0.366 0.750 Zn
0.875 0.884 0.750 Zn
0.000 0.000 0.000 Pd
0.750 0.250 0.500 Pd
0.500 0.500 0.000 V
0.250 0.750 0.500 V


Entry 11:
V3ZnPd, relaxed, DFT PBE-GGA; VASP energy = -5.4713 eV per atom; calculated formation energy = 1293.2 meV/atom; space group = Pm-3m; E above lowest polymorph = 0.0368 eV/atom
1.0
4.606 0.000 0.000
0.000 4.606 0.000
0.000 0.000 4.606
Zn Pd V
1 1 3
direct
0.500 0.500 0.500 Zn
0.000 0.000 0.000 Pd
0.000 0.500 0.000 V
0.000 0.000 0.500 V
0.500 0.000 0.000 V


Entry 12:
Zr2VZnPd, relaxed, DFT PBE-GGA; VASP energy = -5.7109 eV per atom; calculated formation energy = 825.4 meV/atom; space group = P4/mmm
1.0
-4.010 -2.640 1.185
2.536 -3.518 0.744
0.501 1.361 4.728
Zn Zr Pd V
1 2 1 1
direct
0.000 0.000 0.000 Zn
0.000 0.000 0.500 Zr
0.500 0.000 0.000 Zr
0.500 0.500 0.500 Pd
0.000 0.500 0.000 V


Entry 13:
Zr2VPd, relaxed, DFT PBE-GGA; VASP energy = -8.1492 eV per atom; calculated formation energy = -297.2 meV/atom; space group = P4/mmm; E above lowest polymorph = 0.0000 eV/atom
1.0
-1.707 2.771 0.507
-2.552 -1.271 -1.649
-2.456 -2.572 5.783
Zr Pd V
2 1 1
direct
0.000 0.000 0.759 Zr
0.000 0.000 0.241 Zr
0.500 0.500 0.500 Pd
0.500 0.500 0.000 V


Entry 14:
ZrVPd, relaxed, DFT PBE-GGA; VASP energy = -7.8167 eV per atom; calculated formation energy = -196.9 meV/atom; space group = I4mm; E above lowest polymorph = 0.0143 eV/atom
1.0
-2.707 0.862 -1.008
-1.087 -0.129 2.809
3.331 5.080 -0.095
Zr Pd V
1 1 1
direct
0.327 0.327 0.654 Zr
0.020 0.020 0.040 Pd
0.653 0.653 0.306 V


Entry 15:
ZrV2Pd, relaxed, DFT PBE-GGA; VASP energy = -7.9154 eV per atom; calculated formation energy = 79.1 meV/atom; space group = Fm-3m; E above lowest polymorph = 0.0000 eV/atom
1.0
0.000 3.161 3.161
3.161 0.000 3.161
3.161 3.161 0.000
Pd Zr V
1 1 2
direct
0.500 0.500 0.500 Pd
0.000 0.000 0.000 Zr
0.250 0.250 0.250 V
0.750 0.750 0.750 V


Entry 16:
Zr2VPd, relaxed, DFT PBE-GGA; VASP energy = -8.0351 eV per atom; calculated formation energy = -183.2 meV/atom; space group = Fm-3m; E above lowest polymorph = 0.1141 eV/atom
1.0
4.722 0.000 0.000
2.361 4.089 0.000
2.361 1.363 3.855
Zr Pd V
2 1 1
direct
0.250 0.250 0.250 Zr
0.750 0.750 0.750 Zr
0.500 0.500 0.500 Pd
0.000 0.000 0.000 V


Entry 17:
ZrVPd3, relaxed, DFT PBE-GGA; VASP energy = -6.2518 eV per atom; calculated formation energy = 397.2 meV/atom; space group = Pm-3m; E above lowest polymorph = 0.0000 eV/atom
1.0
-2.802 -3.637 -0.184
3.116 -2.515 2.254
-1.885 1.249 4.000
Pd Zr V
3 1 1
direct
0.000 0.500 0.000 Pd
0.000 0.000 0.500 Pd
0.500 0.000 0.000 Pd
0.500 0.500 0.500 Zr
0.000 0.000 0.000 V


Entry 18:
ZrV2Pd8, relaxed, DFT PBE-GGA; VASP energy = -6.6100 eV per atom; calculated formation energy = -398.3 meV/atom; space group = C2/m
1.0
-3.337 -1.886 -1.096
-1.093 -1.632 6.138
-1.384 7.128 -0.804
Zr V Pd
1 2 8
direct
0.500 0.000 0.000 Zr
0.781 0.341 0.563 V
0.219 0.659 0.437 V
0.391 0.536 0.781 Pd
0.682 0.917 0.365 Pd
0.850 0.790 0.701 Pd
0.957 0.273 0.915 Pd
0.150 0.210 0.299 Pd
0.318 0.083 0.635 Pd
0.609 0.464 0.219 Pd
0.043 0.727 0.085 Pd


Entry 19:
ZrV2Pd, relaxed, DFT PBE-GGA; VASP energy = -7.6391 eV per atom; calculated formation energy = 355.5 meV/atom; space group = I-42d; E above lowest polymorph = 0.2764 eV/atom
1.0
7.259 0.000 0.000
0.000 7.259 0.000
3.629 3.629 2.641
Pd Zr V
2 2 4
direct
0.000 0.000 0.000 Pd
0.750 0.250 0.500 Pd
0.500 0.500 0.000 Zr
0.250 0.750 0.500 Zr
0.651 0.125 0.250 V
0.099 0.625 0.250 V
0.375 0.349 0.750 V
0.875 0.901 0.750 V


Entry 20:
ZrVPd14, relaxed, DFT PBE-GGA; VASP energy = -5.9268 eV per atom; calculated formation energy = -278.9 meV/atom; space group = P4/mmm
1.0
-4.818 -1.184 2.639
-1.784 -2.819 -4.522
3.183 -6.590 2.853
Zr V Pd
1 1 14
direct
0.875 0.125 0.000 Zr
0.375 0.625 0.000 V
0.375 0.625 0.500 Pd
0.875 0.125 0.500 Pd
0.875 0.625 0.000 Pd
0.875 0.625 0.500 Pd
0.375 0.125 0.000 Pd
0.375 0.125 0.500 Pd
0.621 0.871 0.755 Pd
0.621 0.871 0.245 Pd
0.129 0.379 0.755 Pd
0.129 0.379 0.245 Pd
0.129 0.871 0.755 Pd
0.129 0.871 0.245 Pd
0.621 0.379 0.755 Pd
0.621 0.379 0.245 Pd


Entry 21:
Zr2VPd, relaxed, DFT PBE-GGA; VASP energy = -7.6253 eV per atom; calculated formation energy = 226.6 meV/atom; space group = R-3m; E above lowest polymorph = 0.5238 eV/atom
1.0
-1.812 2.303 0.335
-2.788 -0.167 -0.948
-4.382 -2.837 8.802
Zr Pd V
2 1 1
direct
0.088 0.088 0.737 Zr
0.912 0.912 0.263 Zr
0.500 0.500 0.500 Pd
0.000 0.000 0.000 V


Entry 22:
ZrVPd, relaxed, DFT PBE-GGA; VASP energy = -7.8310 eV per atom; calculated formation energy = -211.1 meV/atom; space group = I4/mmm; E above lowest polymorph = 0.0000 eV/atom
1.0
-2.745 1.396 1.153
-1.354 -0.193 -2.990
-1.699 -9.867 3.216
V Zr Pd
2 2 2
direct
0.279 0.279 0.557 V
0.721 0.721 0.443 V
0.133 0.133 0.266 Zr
0.867 0.867 0.734 Zr
0.564 0.564 0.127 Pd
0.436 0.436 0.873 Pd


Entry 23:
Zr2VPd, relaxed, DFT PBE-GGA; VASP energy = -7.4436 eV per atom; calculated formation energy = 408.4 meV/atom; space group = I-42d; E above lowest polymorph = 0.7056 eV/atom
1.0
4.096 0.000 0.000
0.000 4.096 0.000
2.048 2.048 9.657
Pd Zr V
2 4 2
direct
0.000 0.000 0.000 Pd
0.750 0.250 0.500 Pd
0.625 0.125 0.250 Zr
0.125 0.625 0.250 Zr
0.375 0.375 0.750 Zr
0.875 0.875 0.750 Zr
0.500 0.500 0.000 V
0.250 0.750 0.500 V


Entry 24:
Zr3VPd12, relaxed, DFT PBE-GGA; VASP energy = -6.7213 eV per atom; calculated formation energy = -654.0 meV/atom; space group = P4/mmm
1.0
-2.166 -1.498 3.016
3.266 -1.806 1.449
3.278 12.994 8.808
Zr V Pd
3 1 12
direct
0.000 0.000 0.244 Zr
0.000 0.000 0.500 Zr
0.000 0.000 0.756 Zr
0.000 0.000 0.000 V
0.500 0.500 0.000 Pd
0.500 0.500 0.248 Pd
0.500 0.500 0.500 Pd
0.500 0.500 0.752 Pd
0.500 0.000 0.121 Pd
0.500 0.000 0.374 Pd
0.500 0.000 0.626 Pd
0.500 0.000 0.879 Pd
0.000 0.500 0.121 Pd
0.000 0.500 0.374 Pd
0.000 0.500 0.626 Pd
0.000 0.500 0.879 Pd


Entry 25:
ZrV4Pd, relaxed, DFT PBE-GGA; VASP energy = -8.3693 eV per atom; calculated formation energy = 0.0 meV/atom; space group = F-43m
1.0
-1.052 2.858 4.061
-4.104 2.987 0.007
-3.968 -1.146 2.951
Zr Pd V
1 1 4
direct
0.250 0.250 0.250 Zr
0.000 0.000 0.000 Pd
0.623 0.623 0.130 V
0.623 0.130 0.623 V
0.623 0.623 0.623 V
0.130 0.623 0.623 V


Entry 26:
Pd4W, relaxed, DFT PBE-GGA; VASP energy = -5.5513 eV per atom; calculated formation energy = 1193.6 meV/atom; space group = Pm-3m
1.0
-2.161 -3.779 1.921
3.065 0.097 3.638
-2.929 2.889 2.391
Pd W
4 1
direct
0.000 0.000 0.000 Pd
0.500 0.000 0.500 Pd
0.000 0.500 0.500 Pd
0.500 0.500 0.000 Pd
0.500 0.500 0.500 W